Here is a relaxed Hf3IrF crystal from Alexandria via LeMat-Bulk. Energies are from PBE.

Summary:
- E above lowest polymorph: 0.000 eV per atom
- Symmetry: Pm-3m, No. 221
- Spin magnetization: 0.00 μB/f.u.
- Final energy: -8.7001 eV/atom
- Formation energy from raw total energies: -582 meV per atom

a = 4.4064 Å, b = 4.4064 Å, c = 4.4064 Å
α = 90.00°, β = 90.00°, γ = 90.00°
Element x y z (fractional)
Ir (0.5000, 0.5000, 0.5000)
Hf (0.0000, 0.5000, 0.0000)
Hf (0.0000, 0.0000, 0.5000)
Hf (0.5000, 0.0000, 0.0000)
F (0.0000, 0.0000, 0.0000)